The following is a GGA-PBE calculation of an optimized crystal structure of LaCrFe3, from Alexandria via LeMat-Bulk.

As for the energy: -7.3778 eV per atom. The volume is 82.5 Å³/f.u. The value obtained for the formation energy from the elements is 0.61 eV/atom. Its crystal system is cubic.

The space group is Pm-3m (No. 221) and the conventional cell measures 4.353, 4.353 and 4.353 Å, with angles of 90.00, 90.00 and 90.00 degrees. Symmetry generates all atoms from La at (0.000, 0.000, 0.000), Cr at (0.500, 0.500, 0.500) and Fe at (0.000, 0.500, 0.500).